(1)
# Cs12Na5Cd2 | the Alexandria database | PBE-GGA | relaxed
data_Cs12Na5Cd2
_chemical_formula_sum 'Cs12 Na5 Cd2'
_cell_length_a 11.412
_cell_length_b 11.412
_cell_length_c 11.449
_cell_angle_alpha 80.36
_cell_angle_beta 80.36
_cell_angle_gamma 79.42
_symmetry_space_group_name_H-M 'P 1'
_symmetry_Int_Tables_number 1
_symmetry_space_group_name_Hall 'P 1'
loop_
_atom_site_label
_atom_site_fract_x
_atom_site_fract_y
_atom_site_fract_z
Cs1 0.900 0.900 0.166
Cs2 0.011 0.659 0.833
Cs3 0.659 0.011 0.833
Cs4 0.166 0.612 0.371
Cs5 0.612 0.166 0.371
Cs6 0.394 0.394 0.743
Cs7 0.606 0.606 0.257
Cs8 0.834 0.388 0.629
Cs9 0.388 0.834 0.629
Cs10 0.989 0.341 0.167
Cs11 0.341 0.989 0.167
Cs12 0.100 0.100 0.834
Na1 0.220 0.220 0.459
Na2 0.396 0.396 0.105
Na3 0.000 0.000 0.500
Na4 0.604 0.604 0.895
Na5 0.780 0.780 0.541
Cd1 0.698 0.302 0.000
Cd2 0.302 0.698 0.000
# Magnetic moment, μB per cell: 0.000
# Formation enthalpy at 0 K, eV/atom: 0.02
# Density of states at the Fermi level, states/eV per cell: 15.545
# Space-group type: C2/m
# Crystal system: monoclinic
# Calculated volume, A^3/atom: 75.29

(2)
# MgI2NF | the Alexandria database | PBE-GGA | relaxed
data_MgI2NF
_chemical_formula_sum 'Mg1 I2 N1 F1'
_cell_length_a 6.528
_cell_length_b 3.584
_cell_length_c 6.528
_cell_angle_alpha 90.00
_cell_angle_beta 90.00
_cell_angle_gamma 90.00
_symmetry_space_group_name_H-M 'P 1'
_symmetry_Int_Tables_number 1
_symmetry_space_group_name_Hall 'P 1'
loop_
_atom_site_label
_atom_site_fract_x
_atom_site_fract_y
_atom_site_fract_z
I1 0.000 0.000 0.500
I2 0.500 0.000 0.000
Mg1 0.000 0.500 0.000
N1 0.500 0.500 0.500
F1 0.000 0.000 0.000
# Magnetic moment, μB per cell: 2.974
# Polymorph energy (0 for the lowest one), meV/atom: 0
# Density of states at the Fermi level, states/eV per cell: 1.545
# Space-group type: P4/mmm
# Crystal system: tetragonal
# Calculated volume, A^3/atom: 30.55
# Raw formation energy, eV per atom: 0.039

(3)
# Nb2ZnHPd | the Alexandria database | PBE-GGA | relaxed
data_Nb2ZnHPd
_chemical_formula_sum 'Nb2 Zn1 H1 Pd1'
_cell_length_a 3.935
_cell_length_b 3.935
_cell_length_c 4.422
_cell_angle_alpha 90.00
_cell_angle_beta 90.00
_cell_angle_gamma 90.00
_symmetry_space_group_name_H-M 'P 1'
_symmetry_Int_Tables_number 1
_symmetry_space_group_name_Hall 'P 1'
loop_
_atom_site_label
_atom_site_fract_x
_atom_site_fract_y
_atom_site_fract_z
H1 0.000 0.000 0.000
Nb1 0.000 0.500 0.000
Nb2 0.500 0.000 0.000
Zn1 0.000 0.000 0.500
Pd1 0.500 0.500 0.500
# Magnetic moment, μB per cell: 0.000
# Polymorph energy (0 for the lowest one), meV/atom: 40
# Density of states at the Fermi level, states/eV per cell: 2.328
# Space-group type: P4/mmm
# Crystal system: tetragonal
# Calculated volume, A^3/atom: 13.69

(4)
# Ba2LiHf | the Alexandria database | PBE-GGA | relaxed
data_Ba2LiHf
_chemical_formula_sum 'Ba2 Li1 Hf1'
_cell_length_a 5.941
_cell_length_b 5.941
_cell_length_c 5.941
_cell_angle_alpha 60.00
_cell_angle_beta 60.00
_cell_angle_gamma 60.00
_symmetry_space_group_name_H-M 'P 1'
_symmetry_Int_Tables_number 1
_symmetry_space_group_name_Hall 'P 1'
loop_
_atom_site_label
_atom_site_fract_x
_atom_site_fract_y
_atom_site_fract_z
Hf1 0.500 0.500 0.500
Ba1 0.250 0.250 0.250
Ba2 0.750 0.750 0.750
Li1 0.000 0.000 0.000
# Magnetic moment, μB per cell: 0.000
# Polymorph energy (0 for the lowest one), meV/atom: 0
# Formation enthalpy at 0 K, eV/atom: 0.65
# Density of states at the Fermi level, states/eV per cell: 5.551
# Space-group type: Fm-3m
# Crystal system: cubic
# Calculated volume, A^3/atom: 37.06

(5)
# Nd6NiOs2Cl3 | the Alexandria database | PBE-GGA | relaxed
data_Nd6NiOs2Cl3
_chemical_formula_sum 'Nd6 Ni1 Os2 Cl3'
_cell_length_a 7.025
_cell_length_b 7.025
_cell_length_c 7.975
_cell_angle_alpha 98.44
_cell_angle_beta 98.44
_cell_angle_gamma 120.00
_symmetry_space_group_name_H-M 'P 1'
_symmetry_Int_Tables_number 1
_symmetry_space_group_name_Hall 'P 1'
loop_
_atom_site_label
_atom_site_fract_x
_atom_site_fract_y
_atom_site_fract_z
Nd1 0.931 0.595 0.794
Nd2 0.733 0.733 0.206
Nd3 0.069 0.405 0.206
Nd4 0.595 0.931 0.794
Nd5 0.267 0.267 0.794
Nd6 0.405 0.069 0.206
Ni1 0.000 0.000 0.000
Os1 0.333 0.667 0.000
Os2 0.667 0.333 0.000
Cl1 0.169 0.831 0.500
Cl2 0.831 0.169 0.500
Cl3 0.500 0.500 0.500
# Magnetic moment, μB per cell: 0.000
# Density of states at the Fermi level, states/eV per cell: 4.062
# Space-group type: C2/m
# Crystal system: monoclinic
# Calculated volume, A^3/atom: 27.15
# Raw formation energy, eV per atom: -0.837

(6)
# NaIn2CoSn | the Alexandria database | PBE-GGA | relaxed
data_NaIn2CoSn
_chemical_formula_sum 'Na1 In2 Co1 Sn1'
_cell_length_a 5.010
_cell_length_b 5.010
_cell_length_c 4.912
_cell_angle_alpha 90.00
_cell_angle_beta 90.00
_cell_angle_gamma 90.00
_symmetry_space_group_name_H-M 'P 1'
_symmetry_Int_Tables_number 1
_symmetry_space_group_name_Hall 'P 1'
loop_
_atom_site_label
_atom_site_fract_x
_atom_site_fract_y
_atom_site_fract_z
Na1 0.500 0.500 0.500
Co1 0.000 0.000 0.000
Sn1 0.000 0.000 0.500
In1 0.000 0.500 0.000
In2 0.500 0.000 0.000
# Magnetic moment, μB per cell: 0.000
# Formation enthalpy at 0 K, eV/atom: -0.03
# Density of states at the Fermi level, states/eV per cell: 3.143
# Space-group type: P4/mmm
# Crystal system: tetragonal
# Calculated volume, A^3/atom: 24.66

(7)
# CuAu2Cl | the Alexandria database | PBE-GGA | relaxed
data_CuAu2Cl
_chemical_formula_sum 'Cu1 Au2 Cl1'
_cell_length_a 6.676
_cell_length_b 6.676
_cell_length_c 3.061
_cell_angle_alpha 76.67
_cell_angle_beta 76.67
_cell_angle_gamma 132.98
_symmetry_space_group_name_H-M 'P 1'
_symmetry_Int_Tables_number 1
_symmetry_space_group_name_Hall 'P 1'
loop_
_atom_site_label
_atom_site_fract_x
_atom_site_fract_y
_atom_site_fract_z
Au1 0.000 0.000 0.000
Au2 0.500 0.500 0.000
Cu1 0.000 0.500 0.500
Cl1 0.500 0.000 0.500
# Magnetic moment, μB per cell: 0.000
# Polymorph energy (0 for the lowest one), meV/atom: 261
# Density of states at the Fermi level, states/eV per cell: 1.871
# Space-group type: C2/m
# Crystal system: monoclinic
# Calculated volume, A^3/atom: 20.37
# Raw formation energy, eV per atom: 0.225

(8)
# AlZnCl2 | the Alexandria database | PBE-GGA | relaxed
data_AlZnCl2
_chemical_formula_sum 'Al1 Zn1 Cl2'
_cell_length_a 3.361
_cell_length_b 3.233
_cell_length_c 9.853
_cell_angle_alpha 90.40
_cell_angle_beta 90.00
_cell_angle_gamma 90.00
_symmetry_space_group_name_H-M 'P 1'
_symmetry_Int_Tables_number 1
_symmetry_space_group_name_Hall 'P 1'
loop_
_atom_site_label
_atom_site_fract_x
_atom_site_fract_y
_atom_site_fract_z
Zn1 0.500 0.250 0.250
Al1 0.500 0.750 0.750
Cl1 0.000 0.755 0.919
Cl2 0.000 0.745 0.581
# Magnetic moment, μB per cell: 0.905
# Polymorph energy (0 for the lowest one), meV/atom: 267
# Density of states at the Fermi level, states/eV per cell: 0.478
# Space-group type: P2/m
# Crystal system: monoclinic
# Calculated volume, A^3/atom: 26.77
# Raw formation energy, eV per atom: -0.423

(9)
# MnNbCoHSe2 | the Alexandria database | PBE-GGA | relaxed
data_MnNbCoHSe2
_chemical_formula_sum 'Mn1 Nb1 Co1 H1 Se2'
_cell_length_a 4.540
_cell_length_b 3.176
_cell_length_c 6.092
_cell_angle_alpha 90.00
_cell_angle_beta 108.90
_cell_angle_gamma 90.00
_symmetry_space_group_name_H-M 'P 1'
_symmetry_Int_Tables_number 1
_symmetry_space_group_name_Hall 'P 1'
loop_
_atom_site_label
_atom_site_fract_x
_atom_site_fract_y
_atom_site_fract_z
Mn1 0.221 0.000 0.508
Nb1 0.229 0.500 0.191
Co1 0.854 0.000 0.790
H1 0.867 0.500 0.896
Se1 0.816 0.500 0.461
Se2 0.424 0.000 0.923
# Magnetic moment, μB per cell: 0.001
# Polymorph energy (0 for the lowest one), meV/atom: 225
# Density of states at the Fermi level, states/eV per cell: 3.736
# Space-group type: Pm
# Crystal system: monoclinic
# Calculated volume, A^3/atom: 13.85

(10)
# TbHBrCl | the Alexandria database | PBE-GGA | relaxed
data_TbHBrCl
_chemical_formula_sum 'Tb1 H1 Br1 Cl1'
_cell_length_a 3.819
_cell_length_b 3.819
_cell_length_c 7.684
_cell_angle_alpha 90.03
_cell_angle_beta 104.36
_cell_angle_gamma 120.00
_symmetry_space_group_name_H-M 'P 1'
_symmetry_Int_Tables_number 1
_symmetry_space_group_name_Hall 'P 1'
loop_
_atom_site_label
_atom_site_fract_x
_atom_site_fract_y
_atom_site_fract_z
Tb1 0.835 0.282 0.116
H1 0.503 0.616 0.119
Br1 0.343 0.037 0.380
Cl1 0.011 0.870 0.881
# Magnetic moment, μB per cell: 0.000
# Total DFT energy (no corrections), eV/atom: -4.535
# Density of states at the Fermi level, states/eV per cell: 0.000
# Space-group type: R3m
# Crystal system: trigonal
# Calculated volume, A^3/atom: 23.25